(1)
## NaInCoSb (GGA-PBE)

Data for an optimized crystal structure of NaInCoSb.

## Properties
Total energy   -3.4075 eV per atom
SG   F-43m (216)
Magnetization   1.634 μB/f.u.

Cell lengths 4.8943, 4.8943, 4.8943 Å; angles 60.00, 60.00, 60.00 degrees
Last column: nearest neighbours and their distance in Å.
Fractional positions:
Na (0.7500, 0.7500, 0.7500)  4 Co 3.00, 4 In 3.00
Sb (0.2500, 0.2500, 0.2500)  4 In 3.00, 4 Co 3.00
In (0.0000, 0.0000, 0.0000)  4 Sb 3.00, 4 Na 3.00
Co (0.5000, 0.5000, 0.5000)  4 Na 3.00, 4 Sb 3.00

(2)
## ThB4Mo (GGA-PBE)

Data for an optimized crystal structure of ThB4Mo.

## Properties
Total energy   -7.9142 eV per atom
SG   P6/mmm (191)
Magnetization   0.003 μB/f.u.

Cell lengths 3.1598, 3.1598, 7.4595 Å; angles 90.00, 90.00, 120.00 degrees
Last column: nearest neighbours and their distance in Å.
Fractional positions:
B (0.6667, 0.3333, 0.2849)  3 B 1.82
B (0.3333, 0.6667, 0.7151)  3 B 1.82
B (0.3333, 0.6667, 0.2849)  3 B 1.82
B (0.6667, 0.3333, 0.7151)  3 B 1.82
Th (0.0000, 0.0000, 0.0000)  12 B 2.80
Mo (0.0000, 0.0000, 0.5000)  12 B 2.43

(3)
## NbSbMo (GGA-PBE)

Data for an optimized crystal structure of NbSbMo.

## Properties
Total energy   -8.2807 eV per atom
SG   P-62m (189)
Magnetization   0.004 μB/f.u.

Cell lengths 7.5108, 7.5108, 3.4161 Å; angles 90.00, 90.00, 120.00 degrees
Last column: nearest neighbours and their distance in Å.
Fractional positions:
Nb (0.3868, 0.0000, 0.5000)  5 Sb 2.89-2.91, 6 Mo 3.06-3.10
Nb (0.6132, 0.6132, 0.5000)  5 Sb 2.89-2.91, 6 Mo 3.06-3.10
Nb (0.0000, 0.3868, 0.5000)  5 Sb 2.89-2.91, 6 Mo 3.06-3.10
Sb (0.0000, 0.0000, 0.5000)  6 Mo 2.68, 3 Nb 2.91
Sb (0.6667, 0.3333, 0.0000)  3 Mo 2.75, 6 Nb 2.89
Sb (0.3333, 0.6667, 0.0000)  3 Mo 2.75, 6 Nb 2.89
Mo (0.2757, 0.2757, 0.0000)  4 Sb 2.68-2.75
Mo (0.7243, 0.0000, 0.0000)  4 Sb 2.68-2.75
Mo (0.0000, 0.7243, 0.0000)  4 Sb 2.68-2.75

(4)
## DyHoB4 (GGA-PBE)

Data for an optimized crystal structure of DyHoB4.

## Properties
Total energy   -6.5591 eV per atom
SG   P6/mmm (191)
Magnetization   0.004 μB/f.u.

Cell lengths 3.2888, 3.2888, 7.6820 Å; angles 90.00, 90.00, 120.00 degrees
Last column: nearest neighbours and their distance in Å.
Fractional positions:
Ho (0.0000, 0.0000, 0.0000)  12 B 2.69
B (0.6667, 0.3333, 0.7514)  3 B 1.90
B (0.3333, 0.6667, 0.7514)  3 B 1.90
B (0.6667, 0.3333, 0.2486)  3 B 1.90
B (0.3333, 0.6667, 0.2486)  3 B 1.90
Dy (0.0000, 0.0000, 0.5000)  12 B 2.71

(5)
## SrCu2As2Pb (GGA-PBE)

Data for an optimized crystal structure of SrCu2As2Pb.

## Properties
Total energy   -4.1052 eV per atom
SG   P-3m1 (164)

Cell lengths 4.2336, 4.2336, 8.5435 Å; angles 90.00, 90.00, 120.00 degrees
Last column: nearest neighbours and their distance in Å.
Fractional positions:
Cu (0.6667, 0.3333, 0.2614)  3 As 2.45
Cu (0.3333, 0.6667, 0.7386)  3 As 2.45
As (0.3333, 0.6667, 0.2421)  3 Cu 2.45
As (0.6667, 0.3333, 0.7579)  3 Cu 2.45
Pb (0.0000, 0.0000, 0.5000)  6 Cu 3.18, 6 As 3.29
Sr (0.0000, 0.0000, 0.0000)  6 As 3.20, 6 Cu 3.31

(6)
## CuB2Pd2 (GGA-PBE)

Data for an optimized crystal structure of CuB2Pd2.

## Properties
Total energy   -5.4144 eV per atom
SG   I4/mmm (139)

Cell lengths 3.8361, 3.8361, 4.7816 Å; angles 113.65, 113.65, 90.00 degrees
Last column: nearest neighbours and their distance in Å.
Fractional positions:
Pd (0.7500, 0.2500, 0.5000)  4 B 2.22
Pd (0.2500, 0.7500, 0.5000)  4 B 2.22
B (0.6072, 0.6072, 0.2144)  1 B 1.69
B (0.3928, 0.3928, 0.7856)  1 B 1.69
Cu (0.0000, 0.0000, 0.0000)  8 Pd 2.75, 8 B 2.84

(7)
## DyIn3 (GGA-PBE)

Data for an optimized crystal structure of DyIn3.

## Properties
Total energy   -3.5429 eV per atom
SG   I4/mmm (139)
Magnetization   0.001 μB/f.u.

Cell lengths 5.9389, 5.9389, 5.9389 Å; angles 135.62, 135.62, 64.57 degrees
Last column: nearest neighbours and their distance in Å.
Fractional positions:
In (0.7500, 0.2500, 0.5000)  8 In 3.17-3.37, 4 Dy 3.37
In (0.5000, 0.5000, 0.0000)  4 Dy 3.17, 8 In 3.37
In (0.2500, 0.7500, 0.5000)  8 In 3.17-3.37, 4 Dy 3.37
Dy (0.0000, 0.0000, 0.0000)  12 In 3.17-3.37

(8)
## FeGeOs2 (GGA-PBE)

Data for an optimized crystal structure of FeGeOs2.

## Properties
Total energy   -8.4385 eV per atom
SG   F-43m (216)
Magnetization   2.311 μB/f.u.

Cell lengths 4.2682, 4.2682, 4.2682 Å; angles 60.00, 60.00, 60.00 degrees
Last column: nearest neighbours and their distance in Å.
Fractional positions:
Os (0.0000, 0.0000, 0.0000)  4 Fe 2.61, 4 Os 2.61
Os (0.7500, 0.7500, 0.7500)  4 Ge 2.61, 4 Os 2.61
Fe (0.2500, 0.2500, 0.2500)  4 Ge 2.61, 4 Os 2.61
Ge (0.5000, 0.5000, 0.5000)  4 Fe 2.61, 4 Os 2.61